# Ba3LuIrRuO9 | the Alexandria database | PBE | relaxed
# Total DFT energy (no corrections) in eV for the cell shown: -211.86
# Space group: P6_3mc (186)
data_Ba3LuIrRuO9
_space_group_name_H-M_alt 'P 1'
_space_group_IT_number 1
_space_group_name_Hall 'P 1'
_cell_length_a 5.9127
_cell_length_b 5.9127
_cell_length_c 14.5518
_cell_angle_alpha 90.00
_cell_angle_beta 90.00
_cell_angle_gamma 120.00
loop_
_atom_site_label
_atom_site_fract_x
_atom_site_fract_y
_atom_site_fract_z
Ba1 0.0000 0.0000 0.0000
Ba2 0.0000 0.0000 0.5000
Ba3 0.3333 0.6667 0.1588
Ba4 0.3333 0.6667 0.8398
Ba5 0.6667 0.3333 0.3398
Ba6 0.6667 0.3333 0.6588
Lu1 0.0000 0.0000 0.2495
Lu2 0.0000 0.0000 0.7495
Ir1 0.3333 0.6667 0.5871
Ir2 0.6667 0.3333 0.0871
Ru1 0.3333 0.6667 0.4126
Ru2 0.6667 0.3333 0.9126
O1 0.0206 0.5103 0.4999
O2 0.1743 0.3486 0.3367
O3 0.1743 0.3487 0.6662
O4 0.1743 0.8257 0.3367
O5 0.1743 0.8257 0.6662
O6 0.3487 0.1743 0.1662
O7 0.3486 0.1743 0.8367
O8 0.4897 0.5103 0.4999
O9 0.4897 0.9794 0.4999
O10 0.5103 0.0206 0.9999
O11 0.5103 0.4897 0.9999
O12 0.6514 0.8257 0.3367
O13 0.6513 0.8257 0.6662
O14 0.8257 0.1743 0.1662
O15 0.8257 0.1743 0.8367
O16 0.8257 0.6513 0.1662
O17 0.8257 0.6514 0.8367
O18 0.9794 0.4897 0.9999